1.
Below is crystalline Pr2Cu2Ni15 at its relaxed geometry, with properties calculated at the PBE-GGA level.

It has space group R-3m (No. 166, hexagonal axes), with a = 8.4075 Å, b = 8.4075 Å, c = 12.1803 Å, α = 90.00°, β = 90.00° and γ = 120.00°. Symmetry generates all atoms from Pr at (0.0000, 0.0000, 0.1575), Cu at (0.0000, 0.0000, 0.4022), Ni at (0.0000, 0.2916, 0.5000), Ni at (0.0000, 0.5000, 0.0000) and Ni at (0.0026, 0.5013, 0.3447).

The formation energy comes out at -0.16 eV/atom. The calculation puts the density of states at the Fermi level at 1.240 states/eV per atom. The crystal system is trigonal.

=====

2.
Below is crystalline BiOsS2N at its relaxed geometry, with properties calculated at the PBE-GGA level.

It has space group P4/mmm (No. 123), with a = 5.2013 Å, b = 5.2013 Å, c = 4.2281 Å, α = 90.00°, β = 90.00° and γ = 90.00°. Symmetry generates all atoms from Bi at (0.0000, 0.0000, 0.0000), Os at (0.5000, 0.5000, 0.5000), S at (0.0000, 0.5000, 0.0000) and N at (0.0000, 0.0000, 0.5000).

The energy above the most stable polymorph in this dataset comes out at 1851 meV per atom. The calculation puts the density of states at the Fermi level at 0.843 states/eV per atom. The crystal system is tetragonal. The formation energy without anion corrections is 2.11 eV/atom.

=====

3.
Below is crystalline Nd4Tl2I at its relaxed geometry, with properties calculated at the PBE-GGA level.

It has space group C2 (No. 5), with a = 16.3876 Å, b = 9.4813 Å, c = 9.4772 Å, α = 90.00°, β = 125.31° and γ = 90.00°. Symmetry generates all atoms from Nd at (0.0186, 0.0000, 0.2682), Nd at (0.0186, 0.5758, 0.2687), Nd at (0.2318, 0.7875, 0.2694), Nd at (0.2317, 0.7883, 0.6936), Tl at (0.0000, 0.7874, 0.0000), Tl at (0.0000, 0.7884, 0.5000), Tl at (0.2499, 0.0379, 0.4995) and I at (0.1250, 0.2881, 0.8751).

The calculation puts the density of states at the Fermi level at 0.787 states/eV per atom. The crystal system is monoclinic. The formation energy without anion corrections is -0.19 eV/atom.

=====

4.
Below is crystalline TbDy2Ho2 at its relaxed geometry, with properties calculated at the PBE-GGA level.

It has space group Fddd (No. 70, origin choice 2), with a = 5.3999 Å, b = 11.6683 Å, c = 22.4541 Å, α = 90.00°, β = 90.00° and γ = 90.00°. Symmetry generates all atoms from Tb at (0.1250, 0.1250, 0.1250), Dy at (0.0000, 0.0000, 0.0000) and Ho at (0.1250, 0.2936, 0.6250).

The formation energy comes out at 0.50 eV/atom. The energy above the most stable polymorph in this dataset comes out at 406 meV per atom. The calculation puts the density of states at the Fermi level at 1.623 states/eV per atom. The crystal system is orthorhombic.

=====

5.
Below is crystalline KRe2Si at its relaxed geometry, with properties calculated at the PBE-GGA level.

It has space group Imm2 (No. 44), with a = 2.7169 Å, b = 5.4254 Å, c = 10.5609 Å, α = 90.00°, β = 90.00° and γ = 90.00°. Symmetry generates all atoms from K at (0.0000, 0.0000, 0.0000), Re at (0.0000, 0.0000, 0.5119), Re at (0.0000, 0.5000, 0.8065) and Si at (0.0000, 0.5000, 0.2130).

The calculation puts the density of states at the Fermi level at 0.951 states/eV per atom. The crystal system is orthorhombic. The formation energy without anion corrections is 1.17 eV/atom.

=====

6.
Below is crystalline Ac4Tl2Ge at its relaxed geometry, with properties calculated at the PBE-GGA level.

It has space group C2/m (No. 12), with a = 12.7564 Å, b = 4.9552 Å, c = 9.5449 Å, α = 90.00°, β = 120.09° and γ = 90.00°. Symmetry generates all atoms from Ac at (0.0834, 0.0000, 0.3690), Ac at (0.1772, 0.5000, 0.0797), Tl at (0.1342, 0.5000, 0.6603) and Ge at (0.0000, 0.0000, 0.0000).

The formation energy comes out at -0.39 eV/atom. The energy above the most stable polymorph in this dataset comes out at 0 meV per atom. The calculation puts the density of states at the Fermi level at 1.320 states/eV per atom. The crystal system is monoclinic.